NaCa2Zn | GGA-PBEsol | optimized geometry

Calculated values
- ΔE_f (eV per atom) = 0.0002
- N(E_F) (states/eV per atom) = 1.2036
- calculated density (g cm⁻³) = 2.47
- total energy (hartree per atom) = -0.0666

Unit cell a=7.6843 b=7.6843 c=7.6843 alpha=90.00 beta=90.00 gamma=90.00
Space group Fm-3m (No. 225)
One atom of each set of equivalent atoms:
1 Na 0.0000 0.0000 0.0000
2 Ca 0.2500 0.2500 0.2500
3 Zn 0.0000 0.0000 0.5000